[1]
The following is a PBE-GGA calculation of a geometry-optimized CaLa2Cr structure, from the Alexandria database.

Geometry as POSCAR:
```
CaLa2Cr
1.0
-2.662 2.662 4.406
2.662 -2.662 4.406
2.662 2.662 -4.406
Ca La Cr
1 2 1
Direct
0.000 0.000 0.000 Ca
0.500 0.500 0.000 La
0.750 0.250 0.500 La
0.250 0.750 0.500 Cr
```

Summary:
Energy above the lowest structure with this stoichiometry   150 meV/atom
Formation energy   414 meV/atom
Fermi-level density of states   5.1 states/eV/cell
Energy   -19.82 eV per cell
Size of the total moment   3.339 μB/f.u.



[2]
The following is a PBE-GGA calculation of a geometry-optimized BaWN3 structure, from the Alexandria database.

Geometry as POSCAR:
```
BaWN3
1.0
5.935 -3.023 0.000
5.935 3.023 0.000
-2.560 0.000 4.936
Ba W N
2 2 6
Direct
0.241 0.241 0.218 Ba
0.759 0.759 0.782 Ba
0.489 0.511 0.000 W
0.910 0.090 0.500 W
0.033 0.737 0.508 N
0.234 0.637 0.703 N
0.263 0.967 0.492 N
0.363 0.766 0.297 N
0.689 0.205 0.186 N
0.795 0.311 0.814 N
```

Summary:
Fermi-level density of states   0.0 states/eV/cell
Formation energy without anion corrections   -7.28 kcal/mol of atoms
Energy   -82.86 eV per cell
Size of the total moment   0.000 μB/f.u.



[3]
The following is a PBE-GGA calculation of a geometry-optimized MgPd2Pt structure, from the Alexandria database.

Geometry as POSCAR:
```
MgPd2Pt
1.0
0.000 3.162 3.162
3.162 0.000 3.162
3.162 3.162 0.000
Mg Pd Pt
1 2 1
Direct
0.000 0.000 0.000 Mg
0.250 0.250 0.250 Pd
0.500 0.500 0.500 Pd
0.750 0.750 0.750 Pt
```

Summary:
Formation energy   -435 meV/atom
Fermi-level density of states   1.3 states/eV/cell
Energy   -19.76 eV per cell
Size of the total moment   0.000 μB/f.u.



[4]
The following is a PBE-GGA calculation of a geometry-optimized Ca2Pd3Au4 structure, from the Alexandria database.

Geometry as POSCAR:
```
Ca2Pd3Au4
1.0
0.000 4.697 6.916
2.697 0.000 6.916
2.697 4.697 0.000
Ca Pd Au
2 3 4
Direct
0.129 0.129 0.871 Ca
0.871 0.871 0.129 Ca
0.000 0.000 0.500 Pd
0.500 0.500 0.000 Pd
0.500 0.500 0.500 Pd
0.169 0.490 0.510 Au
0.490 0.169 0.831 Au
0.510 0.831 0.169 Au
0.831 0.510 0.490 Au
```

Summary:
Formation energy   -590 meV/atom
Fermi-level density of states   3.0 states/eV/cell
Energy   -38.00 eV per cell
Size of the total moment   0.000 μB/f.u.



[5]
The following is a PBE-GGA calculation of a geometry-optimized Pm6SbP3S2 structure, from the Alexandria database.

Geometry as POSCAR:
```
Pm6SbP3S2
1.0
9.099 -2.081 0.000
9.099 2.081 0.000
-1.978 0.000 8.126
Pm Sb P S
6 1 3 2
Direct
0.000 0.000 0.233 Pm
0.000 0.000 0.767 Pm
0.327 0.327 0.418 Pm
0.335 0.335 0.912 Pm
0.665 0.665 0.088 Pm
0.673 0.673 0.582 Pm
0.500 0.500 0.500 Sb
0.166 0.166 0.331 P
0.500 0.500 0.000 P
0.834 0.834 0.669 P
0.169 0.169 0.837 S
0.831 0.831 0.163 S
```

Summary:
Fermi-level density of states   4.0 states/eV/cell
Formation energy without anion corrections   -38.59 kcal/mol of atoms
Energy   -77.19 eV per cell
Size of the total moment   0.000 μB/f.u.



[6]
The following is a PBE-GGA calculation of a geometry-optimized La5Tb2CeSm structure, from the Alexandria database.

Geometry as POSCAR:
```
La5Tb2CeSm
1.0
8.287 0.000 0.000
0.000 8.287 0.000
0.000 0.000 9.351
La Tb Ce Sm
10 4 2 2
Direct
0.000 0.000 0.000 La
0.191 0.309 0.274 La
0.191 0.309 0.726 La
0.309 0.809 0.274 La
0.309 0.809 0.726 La
0.500 0.500 0.000 La
0.691 0.191 0.274 La
0.691 0.191 0.726 La
0.809 0.691 0.274 La
0.809 0.691 0.726 La
0.129 0.629 0.000 Tb
0.371 0.129 0.000 Tb
0.629 0.871 0.000 Tb
0.871 0.371 0.000 Tb
0.000 0.500 0.500 Ce
0.500 0.000 0.500 Ce
0.000 0.000 0.500 Sm
0.500 0.500 0.500 Sm
```

Summary:
Formation energy   276 meV/atom
Fermi-level density of states   33.7 states/eV/cell
Energy   -84.13 eV per cell
Size of the total moment   1.262 μB/f.u.



[7]
The following is a PBE-GGA calculation of a geometry-optimized CaAc2W2N6 structure, from the Alexandria database.

Geometry as POSCAR:
```
CaAc2W2N6
1.0
3.107 1.794 6.109
-3.107 1.794 6.109
0.000 -3.587 6.109
Ca Ac W N
1 2 2 6
Direct
0.000 0.000 0.000 Ca
0.197 0.197 0.197 Ac
0.803 0.803 0.803 Ac
0.427 0.427 0.427 W
0.573 0.573 0.573 W
0.230 0.745 0.745 N
0.255 0.255 0.770 N
0.255 0.770 0.255 N
0.745 0.230 0.745 N
0.745 0.745 0.230 N
0.770 0.255 0.255 N
```

Summary:
Fermi-level density of states   0.0 states/eV/cell
Formation energy without anion corrections   -17.64 kcal/mol of atoms
Energy   -94.49 eV per cell
Size of the total moment   0.000 μB/f.u.



[8]
The following is a PBE-GGA calculation of a geometry-optimized CdP2H8O10 structure, from the Alexandria database.

Geometry as POSCAR:
```
CdP2H8O10
1.0
5.465 0.000 0.000
0.000 10.584 0.000
-5.060 0.000 7.307
Cd P H O
2 4 16 20
Direct
0.000 0.000 0.000 Cd
0.000 0.500 0.500 Cd
0.085 0.218 0.332 P
0.085 0.282 0.832 P
0.915 0.718 0.168 P
0.915 0.782 0.668 P
0.124 0.728 0.016 H
0.124 0.772 0.516 H
0.372 0.077 0.812 H
0.372 0.423 0.312 H
0.381 0.548 0.217 H
0.381 0.952 0.717 H
0.414 0.105 0.581 H
0.414 0.395 0.081 H
0.586 0.605 0.919 H
0.586 0.895 0.419 H
0.619 0.048 0.283 H
0.619 0.452 0.783 H
0.628 0.577 0.688 H
0.628 0.923 0.188 H
0.876 0.228 0.484 H
0.876 0.272 0.984 H
0.036 0.678 0.364 O
0.036 0.822 0.864 O
0.148 0.140 0.864 O
0.148 0.360 0.364 O
0.154 0.680 0.127 O
0.154 0.820 0.627 O
0.374 0.137 0.462 O
0.374 0.363 0.962 O
0.484 0.035 0.767 O
0.484 0.465 0.267 O
0.516 0.535 0.733 O
0.516 0.965 0.233 O
0.626 0.637 0.038 O
0.626 0.863 0.538 O
0.846 0.180 0.373 O
0.846 0.320 0.873 O
0.852 0.640 0.636 O
0.852 0.860 0.136 O
0.964 0.178 0.136 O
0.964 0.322 0.636 O
```

Summary:
Fermi-level density of states   0.0 states/eV/cell
Energy   -238.52 eV per cell
Size of the total moment   0.000 μB/f.u.



[9]
The following is a PBE-GGA calculation of a geometry-optimized Li2GaSiBi structure, from the Alexandria database.

Geometry as POSCAR:
```
Li2GaSiBi
1.0
4.882 0.000 0.000
0.000 4.882 0.000
0.000 0.000 5.519
Li Ga Si Bi
2 1 1 1
Direct
0.000 0.500 0.000 Li
0.500 0.000 0.000 Li
0.000 0.000 0.500 Ga
0.500 0.500 0.000 Si
0.500 0.500 0.500 Bi
```

Summary:
Fermi-level density of states   3.0 states/eV/cell
Formation energy without anion corrections   5.44 kcal/mol of atoms
Energy   -14.98 eV per cell
Size of the total moment   0.000 μB/f.u.



[10]
The following is a PBE-GGA calculation of a geometry-optimized BaCoHgBi2 structure, from the Alexandria database.

Geometry as POSCAR:
```
BaCoHgBi2
1.0
5.680 0.000 0.000
0.000 5.680 0.000
0.000 0.000 6.380
Ba Co Hg Bi
1 1 1 2
Direct
0.000 0.000 0.000 Ba
0.500 0.500 0.000 Co
0.000 0.000 0.500 Hg
0.000 0.500 0.500 Bi
0.500 0.000 0.500 Bi
```

Summary:
Formation energy   797 meV/atom
Fermi-level density of states   8.9 states/eV/cell
Energy   -13.11 eV per cell
Size of the total moment   2.513 μB/f.u.



[11]
The following is a PBE-GGA calculation of a geometry-optimized KAcSbAu structure, from the Alexandria database.

Geometry as POSCAR:
```
KAcSbAu
1.0
0.000 3.994 3.994
3.994 0.000 3.994
3.994 3.994 0.000
K Ac Sb Au
1 1 1 1
Direct
0.000 0.000 0.000 K
0.500 0.500 0.500 Ac
0.250 0.250 0.250 Sb
0.750 0.750 0.750 Au
```

Summary:
Formation energy without anion corrections   -15.86 kcal/mol of atoms
Energy   -15.36 eV per cell
Size of the total moment   0.000 μB/f.u.



[12]
The following is a PBE-GGA calculation of a geometry-optimized PrNi2AsN structure, from the Alexandria database.

Geometry as POSCAR:
```
PrNi2AsN
1.0
1.838 -5.692 0.000
1.838 5.692 0.000
0.000 0.000 6.964
Pr Ni As N
2 4 2 2
Direct
0.037 0.963 0.750 Pr
0.963 0.037 0.250 Pr
0.334 0.666 0.552 Ni
0.334 0.666 0.948 Ni
0.666 0.334 0.052 Ni
0.666 0.334 0.448 Ni
0.233 0.767 0.250 As
0.767 0.233 0.750 As
0.500 0.500 0.000 N
0.500 0.500 0.500 N
```

Summary:
Fermi-level density of states   7.9 states/eV/cell
Formation energy without anion corrections   -16.59 kcal/mol of atoms
Energy   -65.83 eV per cell
Size of the total moment   0.000 μB/f.u.



[13]
The following is a PBE-GGA calculation of a geometry-optimized LiAl2SiS6 structure, from the Alexandria database.

Geometry as POSCAR:
```
LiAl2SiS6
1.0
6.113 -6.242 0.000
6.113 6.242 0.000
-2.921 0.000 6.129
Li Al Si S
2 4 2 12
Direct
0.106 0.894 0.750 Li
0.894 0.106 0.250 Li
0.234 0.405 0.869 Al
0.405 0.234 0.369 Al
0.595 0.766 0.631 Al
0.766 0.595 0.131 Al
0.176 0.824 0.250 Si
0.824 0.176 0.750 Si
0.044 0.187 0.669 S
0.142 0.650 0.939 S
0.187 0.044 0.169 S
0.327 0.435 0.599 S
0.350 0.858 0.561 S
0.435 0.327 0.099 S
0.565 0.673 0.901 S
0.650 0.142 0.439 S
0.673 0.565 0.401 S
0.813 0.956 0.831 S
0.858 0.350 0.061 S
0.956 0.813 0.331 S
```

Summary:
Formation energy without anion corrections   -18.21 kcal/mol of atoms
Energy   -94.97 eV per cell
Size of the total moment   1.001 μB/f.u.



[14]
The following is a PBE-GGA calculation of a geometry-optimized Tb2PrTmS6 structure, from the Alexandria database.

Geometry as POSCAR:
```
Tb2PrTmS6
1.0
3.496 2.019 6.201
-3.496 2.019 6.201
0.000 -4.037 6.201
Tb Pr Tm S
2 1 1 6
Direct
0.000 0.000 0.000 Tb
0.495 0.495 0.495 Tb
0.205 0.205 0.205 Pr
0.697 0.697 0.697 Tm
0.092 0.406 0.793 S
0.298 0.881 0.616 S
0.406 0.793 0.092 S
0.616 0.298 0.881 S
0.793 0.092 0.406 S
0.881 0.616 0.298 S
```

Summary:
Fermi-level density of states   0.0 states/eV/cell
Formation energy without anion corrections   -47.06 kcal/mol of atoms
Energy   -63.68 eV per cell
Size of the total moment   0.000 μB/f.u.



[15]
The following is a PBE-GGA calculation of a geometry-optimized PrTh2Hg3 structure, from the Alexandria database.

Geometry as POSCAR:
```
PrTh2Hg3
1.0
3.839 0.000 0.000
0.000 3.839 0.000
0.000 0.000 11.508
Pr Th Hg
1 2 3
Direct
0.000 0.000 0.000 Pr
0.000 0.000 0.335 Th
0.000 0.000 0.665 Th
0.500 0.500 0.168 Hg
0.500 0.500 0.500 Hg
0.500 0.500 0.832 Hg
```

Summary:
Formation energy   -285 meV/atom
Fermi-level density of states   5.8 states/eV/cell
Energy   -22.24 eV per cell
Size of the total moment   0.170 μB/f.u.



[16]
The following is a PBE-GGA calculation of a geometry-optimized NpCd3Pt8 structure, from the Alexandria database.

Geometry as POSCAR:
```
NpCd3Pt8
1.0
4.683 -2.704 0.000
4.683 2.704 0.000
-0.023 0.000 8.688
Np Cd Pt
1 3 8
Direct
0.000 0.000 0.000 Np
0.000 0.000 0.614 Cd
0.666 0.666 0.520 Cd
0.667 0.667 0.152 Cd
0.164 0.164 0.318 Pt
0.164 0.672 0.320 Pt
0.333 0.333 0.573 Pt
0.334 0.334 0.072 Pt
0.503 0.503 0.824 Pt
0.503 0.994 0.824 Pt
0.672 0.164 0.320 Pt
0.994 0.503 0.824 Pt
```

Summary:
Formation energy   -330 meV/atom
Fermi-level density of states   14.8 states/eV/cell
Energy   -67.97 eV per cell
Size of the total moment   3.009 μB/f.u.



[17]
The following is a PBE-GGA calculation of a geometry-optimized K3Sm2YS6 structure, from the Alexandria database.

Geometry as POSCAR:
```
K3Sm2YS6
1.0
3.563 -6.171 0.000
3.563 6.171 0.000
-2.376 0.000 7.385
K Sm Y S
3 2 1 6
Direct
0.000 0.000 0.000 K
0.333 0.667 0.000 K
0.667 0.333 0.000 K
0.167 0.833 0.500 Sm
0.833 0.167 0.500 Sm
0.500 0.500 0.500 Y
0.103 0.432 0.296 S
0.240 0.240 0.704 S
0.432 0.103 0.296 S
0.568 0.897 0.704 S
0.760 0.760 0.296 S
0.897 0.568 0.704 S
```

Summary:
Fermi-level density of states   0.0 states/eV/cell
Formation energy without anion corrections   -43.23 kcal/mol of atoms
Energy   -66.45 eV per cell
Size of the total moment   0.000 μB/f.u.



[18]
The following is a PBE-GGA calculation of a geometry-optimized Cs4Tl5Te6 structure, from the Alexandria database.

Geometry as POSCAR:
```
Cs4Tl5Te6
1.0
2.848 -12.540 0.000
2.848 12.540 0.000
0.000 0.000 19.169
Cs Tl Te
8 10 12
Direct
0.021 0.979 0.500 Cs
0.034 0.966 0.761 Cs
0.164 0.836 0.310 Cs
0.165 0.835 0.951 Cs
0.835 0.165 0.451 Cs
0.836 0.164 0.810 Cs
0.966 0.034 0.261 Cs
0.979 0.021 0.000 Cs
0.164 0.836 0.627 Tl
0.321 0.679 0.626 Tl
0.333 0.667 0.281 Tl
0.337 0.663 0.975 Tl
0.460 0.540 0.671 Tl
0.540 0.460 0.171 Tl
0.663 0.337 0.475 Tl
0.667 0.333 0.781 Tl
0.679 0.321 0.126 Tl
0.836 0.164 0.127 Tl
0.098 0.902 0.133 Te
0.234 0.766 0.495 Te
0.235 0.765 0.757 Te
0.394 0.606 0.128 Te
0.444 0.556 0.391 Te
0.447 0.553 0.857 Te
0.553 0.447 0.357 Te
0.556 0.444 0.891 Te
0.606 0.394 0.628 Te
0.765 0.235 0.257 Te
0.766 0.234 0.995 Te
0.902 0.098 0.633 Te
```

Summary:
Fermi-level density of states   8.0 states/eV/cell
Formation energy without anion corrections   -13.85 kcal/mol of atoms
Energy   -86.21 eV per cell
Size of the total moment   0.000 μB/f.u.



[19]
The following is a PBE-GGA calculation of a geometry-optimized KTlS2 structure, from the Alexandria database.

Geometry as POSCAR:
```
KTlS2
1.0
0.000 3.705 3.705
3.705 0.000 3.705
3.705 3.705 0.000
K Tl S
1 1 2
Direct
0.000 0.000 0.000 K
0.500 0.500 0.500 Tl
0.250 0.250 0.250 S
0.750 0.750 0.750 S
```

Summary:
Energy above the lowest structure with this stoichiometry   464 meV/atom
Fermi-level density of states   3.4 states/eV/cell
Formation energy without anion corrections   -3.84 kcal/mol of atoms
Energy   -12.38 eV per cell
Size of the total moment   1.739 μB/f.u.



[20]
The following is a PBE-GGA calculation of a geometry-optimized Tl2ZnPbCl6 structure, from the Alexandria database.

Geometry as POSCAR:
```
Tl2ZnPbCl6
1.0
7.323 0.000 0.000
3.441 6.480 0.000
3.432 2.083 6.164
Tl Zn Pb Cl
2 1 1 6
Direct
0.232 0.234 0.230 Tl
0.768 0.766 0.770 Tl
0.000 0.000 0.000 Zn
0.500 0.500 0.500 Pb
0.157 0.780 0.305 Cl
0.222 0.697 0.840 Cl
0.304 0.159 0.786 Cl
0.696 0.841 0.214 Cl
0.778 0.303 0.160 Cl
0.843 0.220 0.695 Cl
```

Summary:
Fermi-level density of states   0.0 states/eV/cell
Formation energy without anion corrections   -24.44 kcal/mol of atoms
Energy   -31.39 eV per cell
Size of the total moment   0.000 μB/f.u.



[21]
The following is a PBE-GGA calculation of a geometry-optimized Eu2PH structure, from the Alexandria database.

Geometry as POSCAR:
```
Eu2PH
1.0
4.885 0.000 0.000
0.000 4.885 0.000
0.000 0.000 3.586
Eu P H
2 1 1
Direct
0.000 0.500 0.000 Eu
0.500 0.000 0.000 Eu
0.000 0.000 0.500 P
0.500 0.500 0.500 H
```

Summary:
Energy above the lowest structure with this stoichiometry   202 meV/atom
Fermi-level density of states   1.4 states/eV/cell
Energy   -31.92 eV per cell
Size of the total moment   14.022 μB/f.u.